Entry 1:
Entry from the Alexandria database: a geometry-optimized HfTe2Br structure (GGA-PBEsol).

```
data_HfTe2Br
_chemical_formula_sum 'Hf3 Te6 Br3'
_cell_length_a 3.9382
_cell_length_b 3.9382
_cell_length_c 27.1957
_cell_angle_alpha 90.00
_cell_angle_beta 90.00
_cell_angle_gamma 120.00
_space_group_name_H-M_alt 'R -3 m'
_space_group_IT_number 166
_space_group_name_Hall '-R 3 2"'
loop_
_atom_site_label
_atom_site_fract_x
_atom_site_fract_y
_atom_site_fract_z
_atom_site_occupancy
Hf1 0.0000 0.0000 0.0000 1
Te1 0.0000 0.0000 0.3967 1
Br1 0.0000 0.0000 0.5000 1
```

Values from the calculation:
Its formation energy from raw total energies is -0.557 eV/atom. The spin magnetization comes out at 0.00 μB per formula unit. The calculation puts the calculated total energy at -21.653 eV per formula unit. As for the offset from the most stable computed form: 0.000 eV per formula unit. The calculated density is 7.00 g/cm³.



Entry 2:
Entry from the Alexandria database: a geometry-optimized Zr3GaO structure (GGA-PBEsol).

```
data_Zr3GaO
_chemical_formula_sum 'Zr3 Ga1 O1'
_cell_length_a 4.3823
_cell_length_b 4.3823
_cell_length_c 4.3823
_cell_angle_alpha 90.00
_cell_angle_beta 90.00
_cell_angle_gamma 90.00
_space_group_name_H-M_alt 'P m -3 m'
_space_group_IT_number 221
_space_group_name_Hall '-P 4 2 3'
loop_
_atom_site_label
_atom_site_fract_x
_atom_site_fract_y
_atom_site_fract_z
_atom_site_occupancy
Zr1 0.0000 0.0000 0.5000 1
Ga1 0.5000 0.5000 0.5000 1
O1 0.0000 0.0000 0.0000 1
```

Values from the calculation:
Its formation energy from raw total energies is -1.258 eV/atom. The spin magnetization comes out at 0.00 μB per formula unit. The calculation puts the calculated total energy at -42.150 eV per formula unit. The calculated density is 7.09 g/cm³.



Entry 3:
Entry from the Alexandria database: a geometry-optimized Mn2MoOsF structure (GGA-PBEsol).

```
data_Mn2MoOsF
_chemical_formula_sum 'Mn2 Mo1 Os1 F1'
_cell_length_a 4.4879
_cell_length_b 4.4879
_cell_length_c 3.7516
_cell_angle_alpha 90.00
_cell_angle_beta 90.00
_cell_angle_gamma 90.00
_space_group_name_H-M_alt 'P 4/m m m'
_space_group_IT_number 123
_space_group_name_Hall '-P 4 2'
loop_
_atom_site_label
_atom_site_fract_x
_atom_site_fract_y
_atom_site_fract_z
_atom_site_occupancy
Mn1 0.0000 0.5000 0.0000 1
Mo1 0.0000 0.0000 0.0000 1
Os1 0.5000 0.5000 0.5000 1
F1 0.0000 0.0000 0.5000 1
```

Values from the calculation:
Its formation energy from raw total energies is 1.093 eV/atom. The spin magnetization comes out at 5.25 μB per formula unit. The calculation puts the calculated total energy at -39.967 eV per formula unit. The calculated density is 9.12 g/cm³.



Entry 4:
Entry from the Alexandria database: a geometry-optimized YZrN2O structure (GGA-PBEsol).

```
data_YZrN2O
_chemical_formula_sum 'Y1 Zr1 N2 O1'
_cell_length_a 4.1881
_cell_length_b 4.1881
_cell_length_c 4.0987
_cell_angle_alpha 90.00
_cell_angle_beta 90.00
_cell_angle_gamma 90.00
_space_group_name_H-M_alt 'P 4/m m m'
_space_group_IT_number 123
_space_group_name_Hall '-P 4 2'
loop_
_atom_site_label
_atom_site_fract_x
_atom_site_fract_y
_atom_site_fract_z
_atom_site_occupancy
Y1 0.0000 0.0000 0.0000 1
Zr1 0.5000 0.5000 0.5000 1
N1 0.0000 0.5000 0.0000 1
O1 0.0000 0.0000 0.5000 1
```

Values from the calculation:
Its formation energy from raw total energies is -0.380 eV/atom. The spin magnetization comes out at 0.00 μB per formula unit. The calculation puts the calculated total energy at -40.116 eV per formula unit. The calculated density is 5.18 g/cm³.



Entry 5:
Entry from the Alexandria database: a geometry-optimized Er3Al12Ru4 structure (GGA-PBEsol).

```
data_Er3Al12Ru4
_chemical_formula_sum 'Er6 Al24 Ru8'
_cell_length_a 8.6995
_cell_length_b 8.6995
_cell_length_c 9.4661
_cell_angle_alpha 90.00
_cell_angle_beta 90.00
_cell_angle_gamma 120.00
_space_group_name_H-M_alt 'P 63/m m c'
_space_group_IT_number 194
_space_group_name_Hall '-P 6c 2c'
loop_
_atom_site_label
_atom_site_fract_x
_atom_site_fract_y
_atom_site_fract_z
_atom_site_occupancy
Er1 0.1936 0.3873 0.2500 1
Al1 0.0000 0.0000 0.2500 1
Al2 0.1215 0.5608 0.7500 1
Al3 0.1624 0.3249 0.5771 1
Al4 0.3333 0.6667 0.0177 1
Ru1 0.0000 0.0000 0.0000 1
Ru2 0.0000 0.5000 0.0000 1
```

Values from the calculation:
The spin magnetization comes out at 0.00 μB per formula unit. The calculation puts the calculated total energy at -116.792 eV per formula unit. The formation energy from the elements is -0.643 eV per atom. The calculated density is 6.58 g/cm³.



Entry 6:
Entry from the Alexandria database: a geometry-optimized Na4Ca7MnSi12H4O36 structure (GGA-PBEsol).

```
data_Na4Ca7MnSi12H4O36
_chemical_formula_sum 'Na4 Ca7 Mn1 Si12 H4 O36'
_cell_length_a 7.0027
_cell_length_b 7.9421
_cell_length_c 13.9672
_cell_angle_alpha 94.91
_cell_angle_beta 90.63
_cell_angle_gamma 102.55
_space_group_name_H-M_alt 'P 1'
_space_group_IT_number 1
loop_
_space_group_symop_operation_xyz
'x,y,z'
loop_
_atom_site_label
_atom_site_fract_x
_atom_site_fract_y
_atom_site_fract_z
_atom_site_occupancy
Na1 0.0000 0.0000 0.0000 1
Na2 0.0031 0.0015 0.4998 1
Na3 0.5065 0.1054 0.3429 1
Na4 0.5140 0.1049 0.8444 1
Ca1 0.1731 0.7038 0.6034 1
Ca2 0.1765 0.7029 0.1054 1
Ca3 0.3417 0.4021 0.7413 1
Ca4 0.6651 0.7000 0.5999 1
Ca5 0.6656 0.6981 0.1033 1
Ca6 0.8488 0.4067 0.7453 1
Ca7 0.8553 0.4043 0.2445 1
Mn1 0.3423 0.3975 0.2422 1
Si1 0.0027 0.0052 0.2448 1
Si2 0.2102 0.7656 0.8466 1
Si3 0.2190 0.7581 0.3458 1
Si4 0.3047 0.3388 0.0021 1
Si5 0.3050 0.3425 0.4946 1
Si6 0.5191 0.1037 0.1027 1
Si7 0.5217 0.1020 0.5983 1
Si8 0.6604 0.7700 0.8427 1
Si9 0.6674 0.7721 0.3418 1
Si10 0.8540 0.3354 0.5024 1
Si11 0.8546 0.3362 0.0048 1
Si12 0.9933 0.0052 0.7453 1
H1 0.5964 0.3903 0.9074 1
H2 0.6030 0.3916 0.4015 1
H3 0.9106 0.7146 0.9412 1
H4 0.9164 0.7142 0.4394 1
O1 0.0467 0.2100 0.7356 1
O2 0.0665 0.2117 0.2368 1
O3 0.0662 0.2913 0.4750 1
O4 0.0672 0.2911 0.9787 1
O5 0.1003 0.7246 0.9460 1
O6 0.1051 0.7185 0.4441 1
O7 0.1518 0.6116 0.7608 1
O8 0.1671 0.9506 0.8128 1
O9 0.1677 0.6006 0.2611 1
O10 0.1711 0.9405 0.3104 1
O11 0.3495 0.1511 0.0298 1
O12 0.3526 0.1580 0.5278 1
O13 0.3640 0.4879 0.0906 1
O14 0.3647 0.4945 0.5815 1
O15 0.4109 0.3835 0.3936 1
O16 0.4151 0.3861 0.9029 1
O17 0.4483 0.8152 0.8689 1
O18 0.4560 0.8171 0.3693 1
O19 0.4668 0.8974 0.6089 1
O20 0.4702 0.8997 0.1154 1
O21 0.5397 0.2330 0.2011 1
O22 0.5492 0.2240 0.6988 1
O23 0.6446 0.6155 0.7584 1
O24 0.6509 0.6148 0.2592 1
O25 0.7279 0.1497 0.5368 1
O26 0.7283 0.1535 0.0432 1
O27 0.7530 0.3636 0.9032 1
O28 0.7536 0.3662 0.4007 1
O29 0.7579 0.7376 0.9446 1
O30 0.7662 0.7413 0.4438 1
O31 0.7901 0.9555 0.8093 1
O32 0.7972 0.9586 0.3078 1
O33 0.8696 0.4903 0.5865 1
O34 0.8728 0.4931 0.0880 1
O35 0.9639 0.8831 0.6450 1
O36 0.9674 0.8838 0.1442 1
```

Values from the calculation:
The spin magnetization comes out at 5.00 μB per formula unit. The calculation puts the calculated total energy at -472.467 eV per formula unit. The calculated density is 2.96 g/cm³.



Entry 7:
Entry from the Alexandria database: a geometry-optimized KTaTc2 structure (GGA-PBEsol).

```
data_KTaTc2
_chemical_formula_sum 'K2 Ta2 Tc4'
_cell_length_a 3.1619
_cell_length_b 4.6193
_cell_length_c 9.9582
_cell_angle_alpha 90.00
_cell_angle_beta 90.00
_cell_angle_gamma 90.00
_space_group_name_H-M_alt 'C m m m'
_space_group_IT_number 65
_space_group_name_Hall '-C 2 2'
loop_
_atom_site_label
_atom_site_fract_x
_atom_site_fract_y
_atom_site_fract_z
_atom_site_occupancy
K1 0.0000 0.0000 0.0000 1
Ta1 0.0000 0.0000 0.5000 1
Tc1 0.0000 0.5000 0.2923 1
```

Values from the calculation:
The spin magnetization comes out at 0.00 μB per formula unit. The calculation puts the calculated total energy at -33.829 eV per formula unit. As for the offset from the most stable computed form: 0.000 eV per formula unit. The formation energy from the elements is 0.597 eV per atom. The calculated density is 9.50 g/cm³.



Entry 8:
Entry from the Alexandria database: a geometry-optimized Tl2PW structure (GGA-PBEsol).

```
data_Tl2PW
_chemical_formula_sum 'Tl2 P1 W1'
_cell_length_a 3.1244
_cell_length_b 3.1244
_cell_length_c 8.6546
_cell_angle_alpha 90.00
_cell_angle_beta 90.00
_cell_angle_gamma 90.00
_space_group_name_H-M_alt 'P 4 m m'
_space_group_IT_number 99
loop_
_space_group_symop_operation_xyz
'x,y,z'
'-y,x,z'
'-x,-y,z'
'y,-x,z'
'-x,y,z'
'y,x,z'
'x,-y,z'
'-y,-x,z'
loop_
_atom_site_label
_atom_site_fract_x
_atom_site_fract_y
_atom_site_fract_z
_atom_site_occupancy
Tl1 0.0000 0.0000 0.0000 1
Tl2 0.5000 0.5000 0.3416 1
P1 0.5000 0.5000 0.7244 1
W1 0.0000 0.0000 0.6041 1
```

Values from the calculation:
The spin magnetization comes out at 0.00 μB per formula unit. The calculation puts the calculated total energy at -24.100 eV per formula unit. As for the offset from the most stable computed form: 0.000 eV per formula unit. The formation energy from the elements is 0.190 eV per atom. The calculated density is 12.26 g/cm³.



Entry 9:
Entry from the Alexandria database: a geometry-optimized SrPSeO2 structure (GGA-PBEsol).

```
data_SrPSeO2
_chemical_formula_sum 'Sr1 P1 Se1 O2'
_cell_length_a 4.2469
_cell_length_b 4.2469
_cell_length_c 6.8753
_cell_angle_alpha 90.00
_cell_angle_beta 90.00
_cell_angle_gamma 90.00
_space_group_name_H-M_alt 'P 4/m m m'
_space_group_IT_number 123
_space_group_name_Hall '-P 4 2'
loop_
_atom_site_label
_atom_site_fract_x
_atom_site_fract_y
_atom_site_fract_z
_atom_site_occupancy
Sr1 0.0000 0.0000 0.0000 1
P1 0.0000 0.0000 0.5000 1
Se1 0.5000 0.5000 0.5000 1
O1 0.0000 0.5000 0.0000 1
```

Values from the calculation:
Its formation energy from raw total energies is 0.323 eV/atom. The spin magnetization comes out at 2.71 μB per formula unit. The calculation puts the calculated total energy at -20.367 eV per formula unit. The calculated density is 3.07 g/cm³.



Entry 10:
Entry from the Alexandria database: a geometry-optimized KSiAu2 structure (GGA-PBEsol).

```
data_KSiAu2
_chemical_formula_sum 'K2 Si2 Au4'
_cell_length_a 7.6171
_cell_length_b 4.3727
_cell_length_c 6.3982
_cell_angle_alpha 90.00
_cell_angle_beta 113.16
_cell_angle_gamma 90.00
_space_group_name_H-M_alt 'C 1 2/m 1'
_space_group_IT_number 12
loop_
_space_group_symop_operation_xyz
'x,y,z'
'-x,-y,-z'
'-x,y,-z'
'x,-y,z'
'x+1/2,y+1/2,z'
'-x+1/2,-y+1/2,-z'
'-x+1/2,y+1/2,-z'
'x+1/2,-y+1/2,z'
loop_
_atom_site_label
_atom_site_fract_x
_atom_site_fract_y
_atom_site_fract_z
_atom_site_occupancy
K1 0.0000 0.0000 0.0000 1
Si1 0.0000 0.5000 0.5000 1
Au1 0.1936 0.0000 0.5824 1
```

Values from the calculation:
Its formation energy from raw total energies is -0.149 eV/atom. The spin magnetization comes out at 0.00 μB per formula unit. The calculation puts the calculated total energy at -15.325 eV per formula unit. The calculated density is 7.82 g/cm³.



Entry 11:
Entry from the Alexandria database: a geometry-optimized FeOsPb2O structure (GGA-PBEsol).

```
data_FeOsPb2O
_chemical_formula_sum 'Fe1 Os1 Pb2 O1'
_cell_length_a 4.9492
_cell_length_b 4.9492
_cell_length_c 3.5417
_cell_angle_alpha 90.00
_cell_angle_beta 90.00
_cell_angle_gamma 90.00
_space_group_name_H-M_alt 'P 4/m m m'
_space_group_IT_number 123
_space_group_name_Hall '-P 4 2'
loop_
_atom_site_label
_atom_site_fract_x
_atom_site_fract_y
_atom_site_fract_z
_atom_site_occupancy
Fe1 0.0000 0.0000 0.0000 1
Os1 0.5000 0.5000 0.0000 1
Pb1 0.0000 0.5000 0.5000 1
O1 0.0000 0.0000 0.5000 1
```

Values from the calculation:
Its formation energy from raw total energies is 0.397 eV/atom. The spin magnetization comes out at 3.33 μB per formula unit. The calculation puts the calculated total energy at -32.442 eV per formula unit. The calculated density is 12.95 g/cm³.



Entry 12:
Entry from the Alexandria database: a geometry-optimized Y6Ga17Pd5 structure (GGA-PBEsol).

```
data_Y6Ga17Pd5
_chemical_formula_sum 'Y12 Ga34 Pd10'
_cell_length_a 15.5837
_cell_length_b 4.1794
_cell_length_c 15.5791
_cell_angle_alpha 90.00
_cell_angle_beta 104.55
_cell_angle_gamma 90.00
_space_group_name_H-M_alt 'C 1 2/m 1'
_space_group_IT_number 12
loop_
_space_group_symop_operation_xyz
'x,y,z'
'-x,-y,-z'
'-x,y,-z'
'x,-y,z'
'x+1/2,y+1/2,z'
'-x+1/2,-y+1/2,-z'
'-x+1/2,y+1/2,-z'
'x+1/2,-y+1/2,z'
loop_
_atom_site_label
_atom_site_fract_x
_atom_site_fract_y
_atom_site_fract_z
_atom_site_occupancy
Y1 0.0914 0.0000 0.4061 1
Y2 0.0998 0.5000 0.9026 1
Y3 0.2476 0.0000 0.2508 1
Ga1 0.0000 0.0000 0.0000 1
Ga2 0.0391 0.0000 0.1782 1
Ga3 0.0457 0.5000 0.6731 1
Ga4 0.1015 0.5000 0.2642 1
Ga5 0.1073 0.0000 0.7657 1
Ga6 0.1737 0.5000 0.5432 1
Ga7 0.1778 0.0000 0.0407 1
Ga8 0.2312 0.5000 0.3968 1
Ga9 0.2390 0.0000 0.8943 1
Pd1 0.0000 0.5000 0.5000 1
Pd2 0.0942 0.5000 0.0962 1
Pd3 0.1066 0.0000 0.6043 1
```

Values from the calculation:
The spin magnetization comes out at 0.00 μB per formula unit. The calculation puts the calculated total energy at -148.538 eV per formula unit. The formation energy from the elements is -0.751 eV per atom. The calculated density is 7.61 g/cm³.